1.
AcSmDy2Hg4 PBE optimized geometry; raw total energy = -2.851 eV per atom
1.0
-4.141 3.407 0.340
-3.855 -0.812 3.654
1.924 5.850 7.280
Ac Sm Dy Hg
1 1 2 4
direct
0.000 0.000 0.000
0.500 0.500 0.500
0.754 0.754 0.739
0.246 0.246 0.261
0.382 0.382 0.854
0.872 0.872 0.383
0.128 0.128 0.617
0.618 0.618 0.146

---

2.
Al2In PBE optimized geometry; raw total energy = -3.272 eV per atom
1.0
6.766 -0.088 0.000
5.431 4.036 0.000
-6.098 -1.974 2.168
Al In
2 1
direct
0.320 0.320 0.000
0.680 0.680 0.000
0.000 0.000 0.000